(1)
A plane-wave DFT calculation with PBE was carried out for ZrPa2Sn after structural relaxation.

Results
The calculated total energy comes out at -7.913 eV per atom. As for the calculated volume: 104 Å³ per cell. The energy above the most stable polymorph in this dataset is 221 meV per atom.

The structure in POSCAR format:
```
ZrPa2Sn
1.0
4.057 0.000 0.000
0.000 4.057 0.000
0.000 0.000 6.305
Zr Pa Sn
1 2 1
Cartesian
0.000 0.000 0.000
2.029 2.029 1.772
2.029 2.029 4.533
0.000 0.000 3.153
```

=====

(2)
A plane-wave DFT calculation with PBE was carried out for ZrPaSn after structural relaxation.

Results
The calculated total energy comes out at -7.380 eV per atom. As for the calculated volume: 74 Å³ per cell. The energy above the most stable polymorph in this dataset is 278 meV per atom.

The structure in POSCAR format:
```
ZrPaSn
1.0
5.215 0.000 0.000
-2.608 4.517 0.000
0.000 0.000 3.147
Zr Pa Sn
1 1 1
Cartesian
0.000 0.000 0.000
0.000 3.011 1.571
2.608 1.506 3.139
```

=====

(3)
A plane-wave DFT calculation with PBE was carried out for Zr2PaSn after structural relaxation.

Results
The calculated total energy comes out at -7.698 eV per atom. As for the calculated volume: 97 Å³ per cell. The energy above the most stable polymorph in this dataset is 250 meV per atom.

The structure in POSCAR format:
```
Zr2PaSn
1.0
1.652 0.954 10.249
-1.652 0.954 10.249
0.000 -1.908 10.249
Zr Pa Sn
2 1 1
Cartesian
0.000 0.000 7.603
0.000 0.000 23.143
0.000 0.000 0.000
0.000 0.000 15.373
```

=====

(4)
A plane-wave DFT calculation with PBE was carried out for Zr2PaSn after structural relaxation.

Results
The calculated total energy comes out at -7.801 eV per atom. As for the calculated volume: 92 Å³ per cell. The energy above the most stable polymorph in this dataset is 148 meV per atom.

The structure in POSCAR format:
```
Zr2PaSn
1.0
0.000 3.577 3.577
3.577 0.000 3.577
3.577 3.577 0.000
Zr Pa Sn
2 1 1
Cartesian
1.788 1.788 1.788
5.365 5.365 5.365
0.000 0.000 0.000
3.577 3.577 3.577
```

=====

(5)
A plane-wave DFT calculation with PBE was carried out for ZrPa2Sn after structural relaxation.

Results
The calculated total energy comes out at -8.134 eV per atom. As for the calculated volume: 96 Å³ per cell. The energy above the most stable polymorph in this dataset is 0 meV per atom.

The structure in POSCAR format:
```
ZrPa2Sn
1.0
4.386 0.000 0.000
0.000 4.386 0.000
0.000 0.000 4.973
Zr Pa Sn
1 2 1
Cartesian
0.000 0.000 0.000
0.000 2.193 2.486
2.193 0.000 2.486
2.193 2.193 0.000
```

=====

(6)
A plane-wave DFT calculation with PBE was carried out for ZrPaSn after structural relaxation.

Results
The calculated total energy comes out at -7.658 eV per atom. As for the calculated volume: 148 Å³ per cell. The energy above the most stable polymorph in this dataset is 0 meV per atom.

The structure in POSCAR format:
```
ZrPaSn
1.0
-2.116 2.116 8.241
2.116 -2.116 8.241
2.116 2.116 -8.241
Zr Pa Sn
2 2 2
Cartesian
0.000 0.000 2.817
0.000 0.000 13.665
2.116 0.000 0.000
0.000 2.116 0.000
0.000 0.000 5.796
0.000 0.000 10.686
```

=====

Repeat the third record exactly.
A plane-wave DFT calculation with PBE was carried out for Zr2PaSn after structural relaxation.

Results
The calculated total energy comes out at -7.698 eV per atom. As for the calculated volume: 97 Å³ per cell. The energy above the most stable polymorph in this dataset is 250 meV per atom.

The structure in POSCAR format:
```
Zr2PaSn
1.0
1.652 0.954 10.249
-1.652 0.954 10.249
0.000 -1.908 10.249
Zr Pa Sn
2 1 1
Cartesian
0.000 0.000 7.603
0.000 0.000 23.143
0.000 0.000 0.000
0.000 0.000 15.373
```

=====

> The lowest calculated total energy belongs to which entry?

number 5

=====

Copy entry 2 word for word.
A plane-wave DFT calculation with PBE was carried out for ZrPaSn after structural relaxation.

Results
The calculated total energy comes out at -7.380 eV per atom. As for the calculated volume: 74 Å³ per cell. The energy above the most stable polymorph in this dataset is 278 meV per atom.

The structure in POSCAR format:
```
ZrPaSn
1.0
5.215 0.000 0.000
-2.608 4.517 0.000
0.000 0.000 3.147
Zr Pa Sn
1 1 1
Cartesian
0.000 0.000 0.000
0.000 3.011 1.571
2.608 1.506 3.139
```